Tm2TlPb | PBE | optimized geometry

Computed properties:
E_form in eV per formula unit: -1.3
Volume in Å³/cell: 108
Density of states at the Fermi level in states/eV per cell: 3.38
Density in g cm⁻³: 11.542

Unit cell a=4.985 b=4.985 c=4.339 alpha=90.00 beta=90.00 gamma=90.00
Space group P4/mmm (No. 123)
Asymmetric unit:
Tm  0.000  0.500  0.000 x2
Tl  0.000  0.000  0.500 x1
Pb  0.500  0.500  0.500 x1

---

Cs2SmYSe4 | PBE | optimized geometry

Computed properties:
Volume in Å³/cell: 270
Density of states at the Fermi level in states/eV per cell: 0.00
Density in g cm⁻³: 5.048
ΔE_f (raw) in eV per atom: -1.732

Unit cell a=7.468 b=4.312 c=8.746 alpha=90.00 beta=106.52 gamma=90.00
Space group P2/m (No. 10)
Asymmetric unit:
Cs  0.000  0.000  0.000 x1
Cs  0.500  0.500  0.000 x1
Sm  0.000  0.500  0.500 x1
Y  0.500  0.000  0.500 x1
Se  0.233  0.000  0.688 x2
Se  0.275  0.500  0.314 x2

---

Sm2Er4ThSc | PBE | optimized geometry

Computed properties:
E_form in eV per formula unit: 1.1
Volume in Å³/cell: 248
Density of states at the Fermi level in states/eV per cell: 15.25
Density in g cm⁻³: 8.355

Unit cell a=5.800 b=5.800 c=7.367 alpha=90.00 beta=90.00 gamma=90.00
Space group P4/mmm (No. 123)
Asymmetric unit:
Sm  0.000  0.000  0.000 x1
Sm  0.500  0.500  0.000 x1
Er  0.000  0.500  0.257 x4
Th  0.000  0.000  0.500 x1
Sc  0.500  0.500  0.500 x1

---

TaTi2BeB | PBE | optimized geometry

Computed properties:
E_form in eV per formula unit: 9.7
Volume in Å³/cell: 98
Density of states at the Fermi level in states/eV per cell: 5.85
Density in g cm⁻³: 5.013

Unit cell a=4.714 b=4.714 c=4.421 alpha=90.00 beta=90.00 gamma=90.00
Space group P4/mmm (No. 123)
Asymmetric unit:
Ta  0.000  0.000  0.000 x1
Ti  0.000  0.500  0.000 x2
Be  0.000  0.000  0.500 x1
B  0.500  0.500  0.500 x1

---

Tm2MnI8 | PBE | optimized geometry

Computed properties:
Volume in Å³/cell: 977
Density in g cm⁻³: 4.789
ΔE_f (raw) in eV per atom: -1.067

Unit cell a=21.641 b=4.037 c=11.191 alpha=90.00 beta=92.75 gamma=90.00
Space group C2/m (No. 12)
Asymmetric unit:
Tm  0.150  0.000  0.255 x4
Mn  0.000  0.500  0.000 x2
I  0.002  0.000  0.819 x4
I  0.097  0.500  0.424 x4
I  0.135  0.500  0.042 x4
I  0.244  0.000  0.708 x4